# 1
# PBE LiY4Zn, optimized geometry
data_LiY4Zn
_chemical_formula_sum 'Li1 Y4 Zn1'
_cell_length_a 4.9709
_cell_length_b 4.9709
_cell_length_c 7.3026
_cell_angle_alpha 90.00
_cell_angle_beta 90.00
_cell_angle_gamma 90.00
_space_group_name_H-M_alt 'P 1'
_space_group_IT_number 1
loop_
_space_group_symop_operation_xyz
'x,y,z'
loop_
_atom_site_label
_atom_site_fract_x
_atom_site_fract_y
_atom_site_fract_z
Li1 0.0000 0.0000 0.0000
Y1 0.0000 0.5000 0.2647
Y2 0.0000 0.5000 0.7353
Y3 0.5000 0.0000 0.2647
Y4 0.5000 0.0000 0.7353
Zn1 0.5000 0.5000 0.5000
# - Energy relative to the lowest polymorph listed for this composition: 0 meV/atom
# - Crystal system: tetragonal

# 2
# PBE Li2YZn2, optimized geometry
data_Li2YZn2
_chemical_formula_sum 'Li4 Y2 Zn4'
_cell_length_a 12.8421
_cell_length_b 12.8421
_cell_length_c 12.8421
_cell_angle_alpha 163.87
_cell_angle_beta 160.15
_cell_angle_gamma 25.68
_space_group_name_H-M_alt 'P 1'
_space_group_IT_number 1
loop_
_space_group_symop_operation_xyz
'x,y,z'
loop_
_atom_site_label
_atom_site_fract_x
_atom_site_fract_y
_atom_site_fract_z
Li1 0.0449 0.2949 0.7500
Li2 0.4456 0.1956 0.2500
Li3 0.5544 0.8044 0.7500
Li4 0.9551 0.7051 0.2500
Y1 0.3265 0.5765 0.7500
Y2 0.6735 0.4235 0.2500
Zn1 0.1220 0.8720 0.2500
Zn2 0.2251 0.9751 0.2500
Zn3 0.7749 0.0249 0.7500
Zn4 0.8780 0.1280 0.7500
# - Energy relative to the lowest polymorph listed for this composition: 0 meV/atom
# - Crystal system: orthorhombic

# 3
# PBE Li2YZn2, optimized geometry
data_Li2YZn2
_chemical_formula_sum 'Li4 Y2 Zn4'
_cell_length_a 7.4517
_cell_length_b 7.4517
_cell_length_c 3.6585
_cell_angle_alpha 90.00
_cell_angle_beta 90.00
_cell_angle_gamma 90.00
_space_group_name_H-M_alt 'P 1'
_space_group_IT_number 1
loop_
_space_group_symop_operation_xyz
'x,y,z'
loop_
_atom_site_label
_atom_site_fract_x
_atom_site_fract_y
_atom_site_fract_z
Li1 0.1691 0.3309 0.0000
Li2 0.3309 0.8309 0.0000
Li3 0.6691 0.1691 0.0000
Li4 0.8309 0.6691 0.0000
Y1 0.0000 0.0000 0.5000
Y2 0.5000 0.5000 0.5000
Zn1 0.1207 0.6207 0.5000
Zn2 0.3793 0.1207 0.5000
Zn3 0.6207 0.8793 0.5000
Zn4 0.8793 0.3793 0.5000
# - Energy relative to the lowest polymorph listed for this composition: 154 meV/atom
# - Crystal system: tetragonal

# 4
# PBE Li2Y2Zn15, optimized geometry
data_Li2Y2Zn15
_chemical_formula_sum 'Li2 Y2 Zn15'
_cell_length_a 6.7912
_cell_length_b 6.7912
_cell_length_c 6.7912
_cell_angle_alpha 83.31
_cell_angle_beta 83.31
_cell_angle_gamma 83.31
_space_group_name_H-M_alt 'P 1'
_space_group_IT_number 1
loop_
_space_group_symop_operation_xyz
'x,y,z'
loop_
_atom_site_label
_atom_site_fract_x
_atom_site_fract_y
_atom_site_fract_z
Li1 0.0982 0.0982 0.0982
Li2 0.9018 0.9018 0.9018
Y1 0.3397 0.3397 0.3397
Y2 0.6603 0.6603 0.6603
Zn1 0.0000 0.0000 0.5000
Zn2 0.0000 0.2969 0.7031
Zn3 0.0000 0.5000 0.0000
Zn4 0.0000 0.7031 0.2969
Zn5 0.1597 0.6491 0.6491
Zn6 0.2969 0.0000 0.7031
Zn7 0.2969 0.7031 0.0000
Zn8 0.3509 0.3509 0.8403
Zn9 0.3509 0.8403 0.3509
Zn10 0.5000 0.0000 0.0000
Zn11 0.6491 0.1597 0.6491
Zn12 0.6491 0.6491 0.1597
Zn13 0.7031 0.0000 0.2969
Zn14 0.7031 0.2969 0.0000
Zn15 0.8403 0.3509 0.3509
# - Crystal system: trigonal

The following energy of formation values (in eV/atom) correspond, in order, to the records above: 0.24 -0.20 -0.05 -0.26.